# 1
First-principles (GGA-PBE) data for a geometry-optimized Pu2AlPt3 structure, as listed in OQMD via LeMat-Bulk. Values from VASP.

Calculated values
**E**: -112.25 eV/cell
**V**: 226.40 Å³ per cell

```
&SYSTEM
  ibrav = 0, nat = 12, ntyp = 3
/
ATOMIC_SPECIES
Pu 244.00 Pu.upf
Al 26.98 Al.upf
Pt 195.08 Pt.upf
ATOMIC_POSITIONS crystal
Pu 0.333 0.667 0.071
Pu 0.333 0.667 0.429
Pu 0.667 0.333 0.571
Pu 0.667 0.333 0.929
Al 0.000 0.000 0.000
Al 0.000 0.000 0.500
Pt 0.169 0.337 0.750
Pt 0.169 0.831 0.750
Pt 0.337 0.169 0.250
Pt 0.663 0.831 0.750
Pt 0.831 0.169 0.250
Pt 0.831 0.663 0.250
CELL_PARAMETERS angstrom
5.606 0.000 0.000
-2.803 4.855 0.000
0.000 0.000 8.319
```



# 2
First-principles (GGA-PBE) data for a geometry-optimized SrTcOs structure, as listed in OQMD via LeMat-Bulk. Values from VASP.

Calculated values
**Energy relative to the lowest polymorph listed for this composition**: 0 meV/atom
**E**: -19.88 eV/cell
**V**: 64.12 Å³ per cell

```
&SYSTEM
  ibrav = 0, nat = 3, ntyp = 3
/
ATOMIC_SPECIES
Sr 87.62 Sr.upf
Tc 98.00 Tc.upf
Os 190.23 Os.upf
ATOMIC_POSITIONS crystal
Sr 0.000 0.000 0.000
Tc 0.750 0.750 0.750
Os 0.500 0.500 0.500
CELL_PARAMETERS angstrom
0.000 3.177 3.177
3.177 0.000 3.177
3.177 3.177 0.000
```



# 3
First-principles (GGA-PBE) data for a geometry-optimized Tl2NiAs structure, as listed in OQMD via LeMat-Bulk. Values from VASP.

Calculated values
**E**: -13.14 eV/cell
**V**: 87.91 Å³ per cell

```
&SYSTEM
  ibrav = 0, nat = 4, ntyp = 3
/
ATOMIC_SPECIES
Tl 204.38 Tl.upf
Ni 58.69 Ni.upf
As 74.92 As.upf
ATOMIC_POSITIONS crystal
Tl 0.000 0.000 0.000
Tl 0.250 0.250 0.250
Ni 0.750 0.750 0.750
As 0.500 0.500 0.500
CELL_PARAMETERS angstrom
0.000 3.529 3.529
3.529 0.000 3.529
3.529 3.529 0.000
```



- The lowest V belongs to which entry?
  SrTcOs



- Which value of E does entry 3 give?
  -13.14 eV/cell



- The highest E belongs to which entry?
  Tl2NiAs